# 1
Ta4Co2PdSe12 at its PBEsol-relaxed geometry. Source: Alexandria, functional SCAN.

Unit cell a=13.057 b=3.367 c=18.932 alpha=90.00 beta=108.18 gamma=90.00
Space group C2/m (No. 12)
One atom of each set of equivalent atoms:
Ta (0.121, 0.000, 0.150) (multiplicity 4)
Ta (0.244, 0.000, 0.406) (multiplicity 4)
Co (0.227, 0.500, 0.283) (multiplicity 4)
Pd (0.000, 0.500, 0.000) (multiplicity 2)
Se (0.038, 0.500, 0.882) (multiplicity 4)
Se (0.097, 0.000, 0.282) (multiplicity 4)
Se (0.121, 0.000, 0.611) (multiplicity 4)
Se (0.128, 0.500, 0.453) (multiplicity 4)
Se (0.188, 0.500, 0.766) (multiplicity 4)
Se (0.191, 0.500, 0.073) (multiplicity 4)

* uncorrected formation energy: -69.6 kJ per mole of atoms
* raw total energy: -588.4 eV per formula unit



# 2
SrZn2CoPd at its PBEsol-relaxed geometry. Source: Alexandria, functional SCAN.

Unit cell a=5.188 b=5.188 c=4.406 alpha=90.00 beta=90.00 gamma=90.00
Space group P4/mmm (No. 123)
One atom of each set of equivalent atoms:
Sr (0.000, 0.000, 0.000) (multiplicity 1)
Zn (0.000, 0.500, 0.000) (multiplicity 2)
Co (0.000, 0.000, 0.500) (multiplicity 1)
Pd (0.500, 0.500, 0.500) (multiplicity 1)

* raw total energy: -90.3 eV per formula unit
* formation energy: 1812 meV per atom